# Sr2YHg

Sr2YHg after structural relaxation (GGA-PBEsol, Alexandria via LeMat-Bulk).

Results
SG: P4mm, No. 99
formation enthalpy at 0 K: -0.23 eV per atom
electronic total energy: -3.00 eV per atom

Cell lengths 3.828, 3.828, 9.898 Å; angles 90.00, 90.00, 90.00 degrees
Fractional coordinates of all 4 atoms:
Y 0.000 0.000 0.568
Sr 0.000 0.000 0.934
Sr 0.500 0.500 0.278
Hg 0.500 0.500 0.719

***

# SrY2Hg

SrY2Hg after structural relaxation (GGA-PBEsol, Alexandria via LeMat-Bulk).

Results
SG: Immm, No. 71
formation enthalpy at 0 K: -0.24 eV per atom
electronic total energy: -4.25 eV per atom

Cell lengths 3.707, 5.597, 6.855 Å; angles 114.10, 105.69, 90.00 degrees
Fractional coordinates of all 4 atoms:
Y 0.708 0.708 0.416
Y 0.292 0.292 0.584
Sr 0.500 0.000 0.000
Hg 0.000 0.500 0.000

***

# SrYHg2

SrYHg2 after structural relaxation (GGA-PBEsol, Alexandria via LeMat-Bulk).

Results
SG: P4mm, No. 99
formation enthalpy at 0 K: -0.36 eV per atom
electronic total energy: -2.81 eV per atom

Cell lengths 4.180, 4.180, 6.716 Å; angles 90.00, 90.00, 90.00 degrees
Fractional coordinates of all 4 atoms:
Hg 0.000 0.000 0.959
Hg 0.500 0.500 0.267
Sr 0.000 0.000 0.448
Y 0.500 0.500 0.826

***

no.,calculated volume (Å³/cell)
1,145
2,124
3,117